# 1
# LaReAs2 | Alexandria | GGA-PBE | relaxed
data_LaReAs2
_space_group_name_H-M_alt 'R 3 m'
_space_group_IT_number 160
_space_group_name_Hall 'R 3 -2"'
_cell_length_a 3.2226
_cell_length_b 3.2226
_cell_length_c 28.0061
_cell_angle_alpha 90.00
_cell_angle_beta 90.00
_cell_angle_gamma 120.00
loop_
_atom_site_label
_atom_site_type_symbol
_atom_site_fract_x
_atom_site_fract_y
_atom_site_fract_z
La1 La 0.0000 0.0000 0.0000
Re1 Re 0.0000 0.0000 0.7591
As1 As 0.0000 0.0000 0.2418
As2 As 0.0000 0.0000 0.4849
# E   -6.412 eV per atom
# Offset from the most stable computed form   830 meV/atom
# Formation enthalpy at 0 K   257 meV/atom
# Magnetization   0.0 μB/cell


# 2
# Sb2IrOs | Alexandria | GGA-PBE | relaxed
data_Sb2IrOs
_space_group_name_H-M_alt 'I -4 m 2'
_space_group_IT_number 119
_space_group_name_Hall 'I -4 -2'
_cell_length_a 3.918
_cell_length_b 3.918
_cell_length_c 9.570
_cell_angle_alpha 90.00
_cell_angle_beta 90.00
_cell_angle_gamma 90.00
loop_
_atom_site_label
_atom_site_type_symbol
_atom_site_fract_x
_atom_site_fract_y
_atom_site_fract_z
Sb1 Sb 0.000 0.000 0.000
Sb2 Sb 0.000 0.500 0.250
Ir1 Ir 0.000 0.500 0.750
Os1 Os 0.000 0.000 0.500
# E_form (uncorrected)   2.4 eV/f.u.
# E   -6.479 eV per atom
# Offset from the most stable computed form   372 meV/atom
# Magnetization   0.0 μB/cell


# 3
# Hf4Ti2Co | Alexandria | GGA-PBE | relaxed
data_Hf4Ti2Co
_space_group_name_H-M_alt 'I 4/m m m'
_space_group_IT_number 139
_space_group_name_Hall '-I 4 2'
_cell_length_a 4.631
_cell_length_b 4.631
_cell_length_c 14.539
_cell_angle_alpha 90.00
_cell_angle_beta 90.00
_cell_angle_gamma 90.00
loop_
_atom_site_label
_atom_site_type_symbol
_atom_site_fract_x
_atom_site_fract_y
_atom_site_fract_z
Hf1 Hf 0.000 0.000 0.172
Hf2 Hf 0.000 0.500 0.000
Ti1 Ti 0.000 0.000 0.368
Co1 Co 0.000 0.000 0.000
# E   -8.360 eV per atom
# Formation enthalpy at 0 K   599 meV/atom
# Magnetization   6.8 μB/cell


Question: What is the magnetization in the first record?
Answer: 0.0 μB/cell


What did the third record say?
# Hf4Ti2Co | Alexandria | GGA-PBE | relaxed
data_Hf4Ti2Co
_space_group_name_H-M_alt 'I 4/m m m'
_space_group_IT_number 139
_space_group_name_Hall '-I 4 2'
_cell_length_a 4.631
_cell_length_b 4.631
_cell_length_c 14.539
_cell_angle_alpha 90.00
_cell_angle_beta 90.00
_cell_angle_gamma 90.00
loop_
_atom_site_label
_atom_site_type_symbol
_atom_site_fract_x
_atom_site_fract_y
_atom_site_fract_z
Hf1 Hf 0.000 0.000 0.172
Hf2 Hf 0.000 0.500 0.000
Ti1 Ti 0.000 0.000 0.368
Co1 Co 0.000 0.000 0.000
# E   -8.360 eV per atom
# Formation enthalpy at 0 K   599 meV/atom
# Magnetization   6.8 μB/cell


Question: Among the records above, which one has the lowest E?
Answer: Hf4Ti2Co